# 1
First-principles (PBE-GGA) data for a geometry-optimized NaHg2P2 structure, as listed in Alexandria.

Cell lengths 7.282, 7.282, 7.282 Å; angles 145.64, 145.64, 49.39 degrees
Positions (direct):
Na 0.000 0.000 0.000
Hg 0.250 0.750 0.500
Hg 0.750 0.250 0.500
P 0.423 0.423 0.000
P 0.577 0.577 0.000

calculated volume: 122 Å³/f.u.
SG: No. 139
ΔH_f (0 K): 0.053 eV/atom

# 2
First-principles (PBE-GGA) data for a geometry-optimized Na2Hg2P structure, as listed in Alexandria.

Cell lengths 7.158, 7.158, 4.828 Å; angles 90.00, 90.00, 90.00 degrees
Positions (direct):
Na 0.174 0.326 0.000
Na 0.326 0.826 0.000
Na 0.674 0.174 0.000
Na 0.826 0.674 0.000
Hg 0.143 0.643 0.500
Hg 0.357 0.143 0.500
Hg 0.643 0.857 0.500
Hg 0.857 0.357 0.500
P 0.000 0.000 0.500
P 0.500 0.500 0.500

calculated volume: 124 Å³/f.u.
SG: No. 127
ΔH_f (0 K): -0.074 eV/atom

# 3
First-principles (PBE-GGA) data for a geometry-optimized NaHg2P2 structure, as listed in Alexandria.

Cell lengths 7.277, 7.277, 4.320 Å; angles 90.00, 90.00, 90.00 degrees
Positions (direct):
Na 0.000 0.000 0.000
Na 0.500 0.500 0.000
Hg 0.192 0.308 0.500
Hg 0.308 0.808 0.500
Hg 0.692 0.192 0.500
Hg 0.808 0.692 0.500
P 0.103 0.603 0.000
P 0.397 0.103 0.000
P 0.603 0.897 0.000
P 0.897 0.397 0.000

calculated volume: 114 Å³/f.u.
SG: No. 127
ΔH_f (0 K): 0.157 eV/atom

# 4
First-principles (PBE-GGA) data for a geometry-optimized Na2HgP2 structure, as listed in Alexandria.

Cell lengths 8.979, 8.979, 2.673 Å; angles 90.00, 90.00, 90.00 degrees
Positions (direct):
Na 0.132 0.368 0.000
Na 0.368 0.868 0.000
Na 0.632 0.132 0.000
Na 0.868 0.632 0.000
Hg 0.000 0.000 0.000
Hg 0.500 0.500 0.000
P 0.164 0.664 0.500
P 0.336 0.164 0.500
P 0.664 0.836 0.500
P 0.836 0.336 0.500

calculated volume: 108 Å³/f.u.
SG: No. 127
ΔH_f (0 K): 0.102 eV/atom

# 5
First-principles (PBE-GGA) data for a geometry-optimized NaHgP structure, as listed in Alexandria.

Cell lengths 4.364, 4.364, 4.546 Å; angles 90.00, 90.00, 120.00 degrees
Positions (direct):
Na 0.000 0.000 0.000
Hg 0.333 0.667 0.498
P 0.667 0.333 0.505

calculated volume: 75 Å³/f.u.
SG: No. 156
ΔH_f (0 K): -0.146 eV/atom

# 6
First-principles (PBE-GGA) data for a geometry-optimized Na4HgP12 structure, as listed in Alexandria.

Cell lengths 8.258, 8.258, 8.258 Å; angles 109.47, 109.47, 109.47 degrees
Positions (direct):
Na 0.000 0.000 0.500
Na 0.000 0.500 0.000
Na 0.500 0.000 0.000
Na 0.500 0.500 0.500
Hg 0.000 0.000 0.000
P 0.112 0.387 0.499
P 0.112 0.613 0.726
P 0.274 0.888 0.387
P 0.387 0.274 0.888
P 0.387 0.499 0.112
P 0.499 0.112 0.387
P 0.501 0.888 0.613
P 0.613 0.501 0.888
P 0.613 0.726 0.112
P 0.726 0.112 0.613
P 0.888 0.387 0.274
P 0.888 0.613 0.501

calculated volume: 433 Å³/f.u.
SG: No. 204
ΔH_f (0 K): -0.015 eV/atom

# 7
First-principles (PBE-GGA) data for a geometry-optimized NaHg3P structure, as listed in Alexandria.

Cell lengths 5.251, 5.251, 5.251 Å; angles 90.00, 90.00, 90.00 degrees
Positions (direct):
Na 0.000 0.000 0.000
Hg 0.000 0.500 0.500
Hg 0.500 0.000 0.500
Hg 0.500 0.500 0.000
P 0.500 0.500 0.500

calculated volume: 145 Å³/f.u.
SG: No. 221
ΔH_f (0 K): 0.160 eV/atom

# 8
First-principles (PBE-GGA) data for a geometry-optimized NaHg3P structure, as listed in Alexandria.

Cell lengths 5.697, 5.697, 5.697 Å; angles 90.00, 90.00, 90.00 degrees
Positions (direct):
Na 0.000 0.000 0.000
Hg 0.000 0.000 0.500
Hg 0.000 0.500 0.000
Hg 0.500 0.000 0.000
P 0.500 0.500 0.500

calculated volume: 185 Å³/f.u.
SG: No. 221
ΔH_f (0 K): 0.644 eV/atom

What is the calculated volume in the fifth record?
75 Å³/f.u.